Below is an optimized crystal structure of Na3ScTc, with properties calculated at the PBE level.

a b c (Å): 5.2695 5.2695 5.2695
angles (deg): 90.00 90.00 90.00
With the nearest neighbours (Å) after each atom.
Element x y z (fractional)
Na (0.0000, 0.0000, 0.5000)  2 Tc 2.63
Na (0.0000, 0.5000, 0.0000)  2 Tc 2.63
Na (0.5000, 0.0000, 0.0000)  2 Tc 2.63
Sc (0.5000, 0.5000, 0.5000)  12 Na 3.73
Tc (0.0000, 0.0000, 0.0000)  6 Na 2.63

Summary:
E   -2.596 eV per atom
SG   Pm-3m, No. 221
Energy above the lowest structure with this stoichiometry   0.0 meV/atom
M_tot   0.0 μB/f.u.